The following is a PBE-GGA calculation of crystalline FeGeW3 at its relaxed geometry, from Alexandria via LeMat-Bulk.

abc: 4.548 4.548 4.548
angles: 90.00 90.00 90.00
Fractional positions:
Fe 0.000 0.000 0.000
Ge 0.500 0.500 0.500
W 0.000 0.500 0.500
W 0.500 0.000 0.500
W 0.500 0.500 0.000

The following is a PBE-GGA calculation of crystalline FeGeW2 at its relaxed geometry, from Alexandria via LeMat-Bulk.

abc: 4.344 4.344 4.344
angles: 60.00 60.00 60.00
Fractional positions:
Fe 0.000 0.000 0.000
Ge 0.500 0.500 0.500
W 0.250 0.250 0.250
W 0.750 0.750 0.750

The following is a PBE-GGA calculation of crystalline FeGeW3 at its relaxed geometry, from Alexandria via LeMat-Bulk.

abc: 4.447 4.447 4.447
angles: 90.00 90.00 90.00
Fractional positions:
Fe 0.000 0.000 0.000
Ge 0.500 0.500 0.500
W 0.000 0.000 0.500
W 0.000 0.500 0.000
W 0.500 0.000 0.000

The following is a PBE-GGA calculation of crystalline Fe2GeW at its relaxed geometry, from Alexandria via LeMat-Bulk.

abc: 2.811 2.811 6.330
angles: 90.00 90.00 90.00
Fractional positions:
Fe 0.000 0.000 0.224
Fe 0.000 0.000 0.776
Ge 0.500 0.500 0.000
W 0.500 0.500 0.500

The following is a PBE-GGA calculation of crystalline FeGe2W at its relaxed geometry, from Alexandria via LeMat-Bulk.

abc: 4.336 4.336 4.336
angles: 60.00 60.00 60.00
Fractional positions:
Fe 0.000 0.000 0.000
Ge 0.250 0.250 0.250
Ge 0.750 0.750 0.750
W 0.500 0.500 0.500

The following is a PBE-GGA calculation of crystalline FeGeW at its relaxed geometry, from Alexandria via LeMat-Bulk.

abc: 4.104 4.104 2.779
angles: 90.00 90.00 120.00
Fractional positions:
Fe 0.000 0.000 0.000
Ge 0.667 0.333 0.000
W 0.333 0.667 0.500

The following is a PBE-GGA calculation of crystalline FeGe2W at its relaxed geometry, from Alexandria via LeMat-Bulk.

abc: 9.220 9.220 9.220
angles: 18.11 18.11 18.11
Fractional positions:
Fe 0.000 0.000 0.000
Ge 0.089 0.089 0.089
Ge 0.911 0.911 0.911
W 0.500 0.500 0.500

The following is a PBE-GGA calculation of crystalline ZrFe2GeW at its relaxed geometry, from Alexandria via LeMat-Bulk.

abc: 4.220 4.220 4.863
angles: 90.00 90.00 90.00
Fractional positions:
Zr 0.000 0.000 0.000
Fe 0.000 0.500 0.500
Fe 0.500 0.000 0.500
Ge 0.000 0.000 0.500
W 0.500 0.500 0.000

Magnetic moment readings, ordered: 0.000; 1.890; 0.000; 0.002; 1.535; 0.000; 2.533; 0.000 μB per cell
Uncorrected energy readings, ordered: -41.48; -37.84; -44.90; -34.34; -29.35; -25.86; -28.83; -37.20 eV for the cell shown
Calculated formation energy readings, ordered: 2.091; 0.286; 1.408; 0.039; 0.324; 0.057; 0.455; 1.170 eV per atom